Entry 1:
Crystalline YScAl at its relaxed geometry. Source: the Alexandria database, functional PBE-GGA.

Lattice parameters (Å, degrees): 6.9146 6.9150 3.3262 76.08 76.09 27.83
Sites, in units of the cell vectors:
Y1 0.6545 0.6545 0.3455
Sc1 0.3524 0.3524 0.6476
Al1 0.9931 0.9931 0.0069

- SG = I4mm
- E above lowest polymorph (eV/f.u.) = 0.10
- total DFT energy (no corrections) (eV per atom) = -5.78

***

Entry 2:
Crystalline Y3ScAl8 at its relaxed geometry. Source: the Alexandria database, functional PBE-GGA.

Lattice parameters (Å, degrees): 5.5118 5.5118 9.5912 73.30 73.30 60.00
Sites, in units of the cell vectors:
Y1 0.3751 0.3751 0.8746
Y2 0.9986 0.9986 0.0041
Y3 0.5007 0.5007 0.4979
Sc1 0.8755 0.8755 0.3734
Al1 0.9363 0.4366 0.1905
Al2 0.4393 0.9381 0.6846
Al3 0.4366 0.4366 0.1905
Al4 0.9381 0.9381 0.6846
Al5 0.1878 0.1878 0.4367
Al6 0.6873 0.6873 0.9382
Al7 0.4366 0.9363 0.1905
Al8 0.9381 0.4393 0.6846

- SG = R3m
- E above lowest polymorph (eV/f.u.) = 0.00
- total DFT energy (no corrections) (eV per atom) = -5.15

***

Entry 3:
Crystalline YSc2Al2 at its relaxed geometry. Source: the Alexandria database, functional PBE-GGA.

Lattice parameters (Å, degrees): 4.4945 4.4945 6.7776 70.64 70.64 90.00
Sites, in units of the cell vectors:
Y1 0.0000 0.0000 0.0000
Sc1 0.3797 0.3797 0.2406
Sc2 0.6203 0.6203 0.7594
Al1 0.7500 0.2500 0.5000
Al2 0.2500 0.7500 0.5000

- SG = I4/mmm
- E above lowest polymorph (eV/f.u.) = 1.92
- total DFT energy (no corrections) (eV per atom) = -5.28

***

Entry 4:
Crystalline Y4ScAl at its relaxed geometry. Source: the Alexandria database, functional PBE-GGA.

Lattice parameters (Å, degrees): 6.2867 6.2867 6.2867 60.00 60.00 60.00
Sites, in units of the cell vectors:
Y1 0.8766 0.3745 0.3745
Y2 0.3745 0.3745 0.8766
Y3 0.3745 0.8766 0.3745
Y4 0.3745 0.3745 0.3745
Sc1 0.0000 0.0000 0.0000
Al1 0.7500 0.7500 0.7500

- SG = F-43m
- E above lowest polymorph (eV/f.u.) = 2.39
- total DFT energy (no corrections) (eV per atom) = -5.63

***

Entry 5:
Crystalline Y2ScAl3 at its relaxed geometry. Source: the Alexandria database, functional PBE-GGA.

Lattice parameters (Å, degrees): 3.5286 3.5286 10.6229 90.00 90.00 90.00
Sites, in units of the cell vectors:
Y1 0.5000 0.5000 0.8251
Y2 0.5000 0.5000 0.1749
Sc1 0.5000 0.5000 0.5000
Al1 0.0000 0.0000 0.0000
Al2 0.0000 0.0000 0.6463
Al3 0.0000 0.0000 0.3537

- SG = P4/mmm
- total DFT energy (no corrections) (eV per atom) = -5.51

***

Entry 6:
Crystalline Y3Sc4Al4 at its relaxed geometry. Source: the Alexandria database, functional PBE-GGA.

Lattice parameters (Å, degrees): 7.2725 7.2725 7.2725 109.47 109.47 109.47
Sites, in units of the cell vectors:
Y1 0.5000 0.5000 0.0000
Y2 0.5000 0.0000 0.5000
Y3 0.0000 0.5000 0.5000
Sc1 0.0000 0.2544 0.0000
Sc2 0.0000 0.0000 0.2544
Sc3 0.2544 0.0000 0.0000
Sc4 0.7456 0.7456 0.7456
Al1 0.0000 0.6190 0.0000
Al2 0.6190 0.0000 0.0000
Al3 0.0000 0.0000 0.6190
Al4 0.3810 0.3810 0.3810

- SG = I-43m
- total DFT energy (no corrections) (eV per atom) = -5.42

***

Entry 7:
Crystalline Y4ScAl5 at its relaxed geometry. Source: the Alexandria database, functional PBE-GGA.

Lattice parameters (Å, degrees): 3.5467 3.5467 17.9575 90.00 90.00 90.00
Sites, in units of the cell vectors:
Y1 0.0000 0.0000 0.1907
Y2 0.0000 0.0000 0.3966
Y3 0.0000 0.0000 0.6034
Y4 0.0000 0.0000 0.8093
Sc1 0.0000 0.0000 0.0000
Al1 0.5000 0.5000 0.0856
Al2 0.5000 0.5000 0.2936
Al3 0.5000 0.5000 0.5000
Al4 0.5000 0.5000 0.7064
Al5 0.5000 0.5000 0.9144

- SG = P4/mmm
- total DFT energy (no corrections) (eV per atom) = -5.51

***

Entry 8:
Crystalline YSc2Al at its relaxed geometry. Source: the Alexandria database, functional PBE-GGA.

Lattice parameters (Å, degrees): 6.1314 6.1314 3.1607 78.17 78.17 117.97
Sites, in units of the cell vectors:
Y1 0.5000 0.0000 0.5000
Sc1 0.0000 0.0000 0.0000
Sc2 0.5000 0.5000 0.0000
Al1 0.0000 0.5000 0.5000

- SG = C2/m
- total DFT energy (no corrections) (eV per atom) = -5.77

***

Entry 9:
Crystalline Y8ScAl2 at its relaxed geometry. Source: the Alexandria database, functional PBE-GGA.

Lattice parameters (Å, degrees): 5.5409 8.4980 8.4980 117.49 101.54 101.54
Sites, in units of the cell vectors:
Y1 0.8919 0.9124 0.6753
Y2 0.8919 0.6753 0.9124
Y3 0.2989 0.6064 0.6064
Y4 0.5000 0.7796 0.2204
Y5 0.5000 0.2204 0.7796
Y6 0.7011 0.3936 0.3936
Y7 0.1081 0.3247 0.0876
Y8 0.1081 0.0876 0.3247
Sc1 0.5000 0.0000 0.0000
Al1 0.0000 0.3070 0.6930
Al2 0.0000 0.6930 0.3070

- SG = C2/m
- total DFT energy (no corrections) (eV per atom) = -5.97

***

Entry 10:
Crystalline YSc4Al5 at its relaxed geometry. Source: the Alexandria database, functional PBE-GGA.

Lattice parameters (Å, degrees): 3.4193 3.4193 17.1401 90.00 90.00 90.00
Sites, in units of the cell vectors:
Y1 0.0000 0.0000 0.0000
Sc1 0.0000 0.0000 0.2099
Sc2 0.0000 0.0000 0.4035
Sc3 0.0000 0.0000 0.5965
Sc4 0.0000 0.0000 0.7901
Al1 0.5000 0.5000 0.1143
Al2 0.5000 0.5000 0.3068
Al3 0.5000 0.5000 0.5000
Al4 0.5000 0.5000 0.6932
Al5 0.5000 0.5000 0.8857

- SG = P4/mmm
- total DFT energy (no corrections) (eV per atom) = -5.49

***

Entry 11:
Crystalline Y5ScAl3 at its relaxed geometry. Source: the Alexandria database, functional PBE-GGA.

Lattice parameters (Å, degrees): 6.5595 9.0275 9.0274 120.00 90.00 90.00
Sites, in units of the cell vectors:
Y1 0.0000 0.6667 0.3333
Y2 0.5000 0.3333 0.6667
Y3 0.0000 0.3333 0.6667
Y4 0.5000 0.6667 0.3333
Y5 0.7500 0.6774 0.6774
Y6 0.7500 0.0000 0.3226
Y7 0.7500 0.3226 0.0000
Y8 0.2500 0.3226 0.3226
Y9 0.2500 0.0000 0.6774
Y10 0.2500 0.6774 0.0000
Sc1 0.0000 0.0000 0.0000
Sc2 0.5000 0.0000 0.0000
Al1 0.7500 0.3388 0.3388
Al2 0.7500 0.0000 0.6612
Al3 0.7500 0.6612 0.0000
Al4 0.2500 0.6612 0.6612
Al5 0.2500 0.0000 0.3388
Al6 0.2500 0.3388 0.0000

- SG = P6_3/mcm
- total DFT energy (no corrections) (eV per atom) = -5.84

***

Entry 12:
Crystalline YScAl at its relaxed geometry. Source: the Alexandria database, functional PBE-GGA.

Lattice parameters (Å, degrees): 4.2434 7.8513 7.8513 120.00 90.00 90.00
Site moments in Bohr magnetons follow the coordinates.
Sites, in units of the cell vectors:
Al1 0.5000 0.6667 0.3333  -0.01
Al2 0.5000 0.3333 0.6667  -0.01
Al3 0.0000 0.0000 0.0000  -0.01
Y1 0.0000 0.5931 0.5931  0.23
Y2 0.0000 0.0000 0.4069  0.23
Y3 0.0000 0.4069 0.0000  0.23
Sc1 0.5000 0.0000 0.7478  0.33
Sc2 0.5000 0.7478 0.0000  0.33
Sc3 0.5000 0.2522 0.2522  0.33

- SG = P-62m
- E above lowest polymorph (eV/f.u.) = 0.08
- total DFT energy (no corrections) (eV per atom) = -5.79

***

Entry 13:
Crystalline YSc2Al at its relaxed geometry. Source: the Alexandria database, functional PBE-GGA.

Lattice parameters (Å, degrees): 4.8089 3.3184 6.3179 73.97 90.00 90.00
Sites, in units of the cell vectors:
Y1 0.5000 0.2500 0.2500
Sc1 0.0000 0.9285 0.9775
Sc2 0.0000 0.5715 0.5225
Al1 0.5000 0.7500 0.7500

- SG = P2/m
- total DFT energy (no corrections) (eV per atom) = -5.83

***

Entry 14:
Crystalline YSc2Al at its relaxed geometry. Source: the Alexandria database, functional PBE-GGA.

Lattice parameters (Å, degrees): 6.2001 6.2001 5.1294 65.56 65.56 32.91
Sites, in units of the cell vectors:
Y1 0.2500 0.2500 0.2500
Sc1 0.0309 0.0309 0.9691
Sc2 0.4691 0.4691 0.5309
Al1 0.7500 0.7500 0.7500

- SG = Immm
- total DFT energy (no corrections) (eV per atom) = -5.95

***

Entry 15:
Crystalline YSc2Al at its relaxed geometry. Source: the Alexandria database, functional PBE-GGA.

Lattice parameters (Å, degrees): 3.2742 4.4263 6.5442 90.00 90.00 90.00
Site moments in Bohr magnetons follow the coordinates.
Sites, in units of the cell vectors:
Y1 0.5000 0.5000 0.2500  0.06
Sc1 0.0000 0.0000 0.9794  0.13
Sc2 0.0000 0.0000 0.5206  0.13
Al1 0.5000 0.5000 0.7500  0.00

- SG = Pmmm
- total DFT energy (no corrections) (eV per atom) = -5.82

***

Entry 16:
Crystalline YScAl at its relaxed geometry. Source: the Alexandria database, functional PBE-GGA.

Lattice parameters (Å, degrees): 4.9116 4.9116 4.9116 60.00 60.00 60.00
Sites, in units of the cell vectors:
Y1 0.5000 0.5000 0.5000
Sc1 0.0000 0.0000 0.0000
Al1 0.7500 0.7500 0.7500

- SG = F-43m
- E above lowest polymorph (eV/f.u.) = 0.85
- total DFT energy (no corrections) (eV per atom) = -5.53

***

Entry 17:
Crystalline YScAl at its relaxed geometry. Source: the Alexandria database, functional PBE-GGA.

Lattice parameters (Å, degrees): 4.9149 4.9149 3.4984 90.00 90.00 120.00
Sites, in units of the cell vectors:
Y1 0.3333 0.6667 0.6839
Sc1 0.6667 0.3333 0.2287
Al1 0.0000 0.0000 0.0874

- SG = P3m1
- E above lowest polymorph (eV/f.u.) = 0.32
- total DFT energy (no corrections) (eV per atom) = -5.71

***

Entry 18:
Crystalline Y4ScAl at its relaxed geometry. Source: the Alexandria database, functional PBE-GGA.

Lattice parameters (Å, degrees): 6.0866 8.9351 8.1916 114.51 100.36 110.57
Site moments in Bohr magnetons follow the coordinates.
Sites, in units of the cell vectors:
Y1 0.0556 0.1943 0.8092  0.10
Y2 0.7679 0.7122 0.6319  0.15
Y3 0.2536 0.6149 0.8092  0.10
Y4 0.3640 0.9197 0.6319  0.15
Y5 0.6360 0.0803 0.3681  0.15
Y6 0.7464 0.3851 0.1908  0.10
Y7 0.2321 0.2878 0.3681  0.15
Y8 0.9444 0.8057 0.1908  0.10
Sc1 0.3575 0.6075 0.2149  0.24
Sc2 0.6425 0.3925 0.7851  0.24
Al1 0.2497 0.9997 0.9995  0.00
Al2 0.7503 0.0003 0.0005  0.00

- SG = C2/c
- E above lowest polymorph (eV/f.u.) = 0.00
- total DFT energy (no corrections) (eV per atom) = -6.02

***

Entry 19:
Crystalline YScAl at its relaxed geometry. Source: the Alexandria database, functional PBE-GGA.

Lattice parameters (Å, degrees): 4.9511 4.9511 4.9511 60.00 60.00 60.00
Sites, in units of the cell vectors:
Y1 0.7500 0.7500 0.7500
Sc1 0.5000 0.5000 0.5000
Al1 0.0000 0.0000 0.0000

- SG = F-43m
- E above lowest polymorph (eV/f.u.) = 2.58
- total DFT energy (no corrections) (eV per atom) = -4.96

***

Entry 20:
Crystalline YSc2Al2 at its relaxed geometry. Source: the Alexandria database, functional PBE-GGA.

Lattice parameters (Å, degrees): 8.0851 8.0851 3.4539 90.00 90.00 90.00
Sites, in units of the cell vectors:
Y1 0.0000 0.0000 0.0000
Y2 0.5000 0.5000 0.0000
Sc1 0.1769 0.6769 0.5000
Sc2 0.6769 0.8231 0.5000
Sc3 0.8231 0.3231 0.5000
Sc4 0.3231 0.1769 0.5000
Al1 0.3811 0.8811 0.0000
Al2 0.8811 0.6189 0.0000
Al3 0.6189 0.1189 0.0000
Al4 0.1189 0.3811 0.0000

- SG = P4/mbm
- E above lowest polymorph (eV/f.u.) = 0.06
- total DFT energy (no corrections) (eV per atom) = -5.65